ZnBiSbO | PBE | relaxed

The space group is P2_12_12_1 (No. 19) and the conventional cell measures 6.2636, 7.4196 and 7.7724 Å, with angles of 90.00, 90.00 and 90.00 degrees. The distinct sites, in fractional coordinates, are Zn at (0.0598, 0.1745, 0.4028), Bi at (0.0581, 0.5632, 0.6887), Sb at (0.1095, 0.8144, 0.3826) and O at (0.1223, 0.7644, 0.9047).

The value obtained for the raw total energy is -4.10 eV per atom. The calculation puts the density at 7.6 g/cm3. Its crystal system is orthorhombic. Its energy relative to the lowest polymorph listed for this composition is 0 meV per atom.

ZnBiSbO | PBE | relaxed

The space group is P4/nmm (No. 129, origin choice 2) and the conventional cell measures 3.9089, 3.9089 and 11.0064 Å, with angles of 90.00, 90.00 and 90.00 degrees. The distinct sites, in fractional coordinates, are Zn at (0.2500, 0.2500, 0.2059), Bi at (0.2500, 0.2500, 0.6180), Sb at (0.2500, 0.2500, 0.9351) and O at (0.2500, 0.7500, 0.5000).

The value obtained for the raw total energy is -3.89 eV per atom. The calculation puts the density at 8.1 g/cm3. Its crystal system is tetragonal. Its energy relative to the lowest polymorph listed for this composition is 208 meV per atom.

ZnBiSbO | PBE | relaxed

The space group is R-3m (No. 166, hexagonal axes) and the conventional cell measures 3.5057, 3.5057 and 45.3914 Å, with angles of 90.00, 90.00 and 120.00 degrees. The distinct sites, in fractional coordinates, are Zn at (0.0000, 0.0000, 0.1430), Bi at (0.0000, 0.0000, 0.3012), Sb at (0.0000, 0.0000, 0.4185) and O at (0.0000, 0.0000, 0.1902).

The value obtained for the raw total energy is -4.04 eV per atom. The calculation puts the density at 8.5 g/cm3. Its crystal system is trigonal. Its energy relative to the lowest polymorph listed for this composition is 59 meV per atom.

ZnBiSbO | PBE | relaxed

The space group is P4/nmm (No. 129, origin choice 2) and the conventional cell measures 4.0998, 4.0998 and 9.8462 Å, with angles of 90.00, 90.00 and 90.00 degrees. The distinct sites, in fractional coordinates, are Zn at (0.2500, 0.7500, 0.0000), Bi at (0.2500, 0.2500, 0.3767), Sb at (0.2500, 0.2500, 0.8156) and O at (0.2500, 0.7500, 0.5000).

The value obtained for the raw total energy is -4.05 eV per atom. The calculation puts the density at 8.3 g/cm3. Its crystal system is tetragonal. Its energy relative to the lowest polymorph listed for this composition is 50 meV per atom.

ZnBiSbO | PBE | relaxed

The space group is P2_12_12_1 (No. 19) and the conventional cell measures 6.1460, 6.5970 and 8.2802 Å, with angles of 90.00, 90.00 and 90.00 degrees. The distinct sites, in fractional coordinates, are Zn at (0.2266, 0.1501, 0.0154), Bi at (0.0730, 0.7065, 0.1139), Sb at (0.0070, 0.4996, 0.7445) and O at (0.0076, 0.8067, 0.3759).

The value obtained for the raw total energy is -3.96 eV per atom. The calculation puts the density at 8.2 g/cm3. Its crystal system is orthorhombic. Its energy relative to the lowest polymorph listed for this composition is 142 meV per atom.

ZnBiSbO | PBE | relaxed

The space group is P4/nmm (No. 129, origin choice 2) and the conventional cell measures 4.3371, 4.3371 and 10.2086 Å, with angles of 90.00, 90.00 and 90.00 degrees. The distinct sites, in fractional coordinates, are Zn at (0.2500, 0.2500, 0.0104), Bi at (0.2500, 0.7500, 0.5000), Sb at (0.2500, 0.2500, 0.7306) and O at (0.2500, 0.7500, 0.0000).

The value obtained for the raw total energy is -3.68 eV per atom. The calculation puts the density at 7.1 g/cm3. Its crystal system is tetragonal. Its energy relative to the lowest polymorph listed for this composition is 419 meV per atom.

SmBiSe2O | PBE | relaxed

The space group is P4/nmm (No. 129, origin choice 2) and the conventional cell measures 4.0641, 4.0641 and 14.8327 Å, with angles of 90.00, 90.00 and 90.00 degrees. The distinct sites, in fractional coordinates, are Sm at (0.2500, 0.2500, 0.0771), Bi at (0.2500, 0.2500, 0.6380), Se at (0.2500, 0.2500, 0.4024), Se at (0.2500, 0.2500, 0.8176) and O at (0.2500, 0.7500, 0.0000).

The calculation puts the total magnetization at 0.01 μB per cell. The value obtained for the raw total energy is -5.82 eV per atom. The calculation puts the density at 7.2 g/cm3. Its crystal system is tetragonal.

Sm2Bi2O5 | PBE | relaxed

The space group is P4/mmm (No. 123) and the conventional cell measures 3.9700, 3.9700 and 9.7532 Å, with angles of 90.00, 90.00 and 90.00 degrees. The distinct sites, in fractional coordinates, are Sm at (0.0000, 0.0000, 0.2475), Bi at (0.5000, 0.5000, 0.0000), Bi at (0.5000, 0.5000, 0.5000), O at (0.0000, 0.0000, 0.0000) and O at (0.0000, 0.5000, 0.3553).

The calculation puts the total magnetization at 0.00 μB per cell. The value obtained for the raw total energy is -6.74 eV per atom. The calculation puts the density at 8.6 g/cm3. Its crystal system is tetragonal. Its energy relative to the lowest polymorph listed for this composition is 0 meV per atom.

Sm4Bi2O | PBE | relaxed

The space group is I4/mmm (No. 139) and the conventional cell measures 4.6721, 4.6721 and 17.3049 Å, with angles of 90.00, 90.00 and 90.00 degrees. The distinct sites, in fractional coordinates, are Sm at (0.0000, 0.0000, 0.1746), Sm at (0.0000, 0.5000, 0.0000), Bi at (0.0000, 0.0000, 0.3602) and O at (0.0000, 0.0000, 0.0000).

The calculation puts the total magnetization at 0.01 μB per cell. The value obtained for the raw total energy is -5.86 eV per atom. The calculation puts the density at 9.1 g/cm3. Its crystal system is tetragonal.

Sm2Bi2O5 | PBE | relaxed

The space group is P4/mmm (No. 123) and the conventional cell measures 4.3612, 4.3612 and 7.5256 Å, with angles of 90.00, 90.00 and 90.00 degrees. The distinct sites, in fractional coordinates, are Sm at (0.0000, 0.0000, 0.0000), Sm at (0.0000, 0.0000, 0.5000), Bi at (0.5000, 0.5000, 0.2161), O at (0.0000, 0.5000, 0.2794) and O at (0.5000, 0.5000, 0.5000).

The calculation puts the total magnetization at 0.42 μB per cell. The value obtained for the raw total energy is -6.16 eV per atom. The calculation puts the density at 9.3 g/cm3. Its crystal system is tetragonal. Its energy relative to the lowest polymorph listed for this composition is 580 meV per atom.

SmBi2O4 | PBE | relaxed

The space group is C2/m (No. 12) and the conventional cell measures 18.1357, 4.2308 and 6.2011 Å, with angles of 90.00, 94.94 and 90.00 degrees. The distinct sites, in fractional coordinates, are Sm at (0.2452, 0.0000, 0.2412), Bi at (0.0812, 0.5000, 0.2886), Bi at (0.0828, 0.0000, 0.8324), O at (0.1092, 0.5000, 0.9406), O at (0.1150, 0.0000, 0.2148), O at (0.1900, 0.5000, 0.4270) and O at (0.2051, 0.0000, 0.8628).

The calculation puts the total magnetization at 0.02 μB per cell. The value obtained for the raw total energy is -6.47 eV per atom. The calculation puts the density at 8.9 g/cm3. Its crystal system is monoclinic.

Sm2TmBiO6 | PBE | relaxed

The space group is P-1 (No. 2) and the conventional cell measures 3.5106, 5.9612 and 7.1081 Å, with angles of 90.09, 98.90 and 94.82 degrees. The distinct sites, in fractional coordinates, are Sm at (0.1580, 0.4691, 0.2568), Tm at (0.5000, 0.0000, 0.0000), Bi at (0.0000, 0.0000, 0.5000), O at (0.0017, 0.7517, 0.0335), O at (0.2709, 0.3531, 0.6048) and O at (0.4592, 0.8458, 0.7128).

The calculation puts the total magnetization at 0.00 μB per cell. The value obtained for the raw total energy is -7.56 eV per atom. The calculation puts the density at 8.8 g/cm3. Its crystal system is triclinic.